Entry 1
! Sc2Cr2Pt | Alexandria | PBE | relaxed; values from VASP
&SYSTEM
  ibrav = 0, nat = 10, ntyp = 3
/
ATOMIC_SPECIES
Cr 52.00 Cr.upf
Pt 195.08 Pt.upf
Sc 44.96 Sc.upf
CELL_PARAMETERS angstrom
6.3969 0.0000 0.0000
0.0000 6.3969 0.0000
0.0000 0.0000 4.1905
ATOMIC_POSITIONS crystal
Cr 0.1074 0.3926 0.0000
Cr 0.6074 0.1074 0.0000
Cr 0.8926 0.6074 0.0000
Cr 0.3926 0.8926 0.0000
Pt 0.5000 0.5000 0.0000
Pt 0.0000 0.0000 0.0000
Sc 0.8182 0.3182 0.5000
Sc 0.1818 0.6818 0.5000
Sc 0.3182 0.1818 0.5000
Sc 0.6818 0.8182 0.5000
! Space-group type: P4/mbm
! D(E_F): 14.2 states/eV per cell
! M_tot: 0.000 μB/f.u.

Entry 2
! Sc2Cr2Pt | Alexandria | PBE | relaxed; values from VASP
&SYSTEM
  ibrav = 0, nat = 5, ntyp = 3
/
ATOMIC_SPECIES
Cr 52.00 Cr.upf
Sc 44.96 Sc.upf
Pt 195.08 Pt.upf
CELL_PARAMETERS angstrom
3.2605 0.0000 0.0000
0.0000 3.2605 0.0000
1.6302 1.6302 8.0934
ATOMIC_POSITIONS crystal
Cr 0.2500 0.7500 0.5000
Cr 0.7500 0.2500 0.5000
Sc 0.3949 0.3949 0.2102
Sc 0.6051 0.6051 0.7898
Pt 0.0000 0.0000 0.0000
! Space-group type: I4/mmm
! D(E_F): 4.0 states/eV per cell
! M_tot: 0.000 μB/f.u.

Unit: meV/atom. Relative energies: entry 1 0; entry 2 32.

Entry 1
! ScCrPt3 | Alexandria | PBE | relaxed; values from VASP
&SYSTEM
  ibrav = 0, nat = 5, ntyp = 3
/
ATOMIC_SPECIES
Pt 195.08 Pt.upf
Cr 52.00 Cr.upf
Sc 44.96 Sc.upf
CELL_PARAMETERS angstrom
4.7412 0.0000 0.0000
0.0000 4.7412 0.0000
0.0000 0.0000 4.7412
ATOMIC_POSITIONS crystal
Pt 0.5000 0.0000 0.0000
Pt 0.0000 0.0000 0.5000
Pt 0.0000 0.5000 0.0000
Cr 0.5000 0.5000 0.5000
Sc 0.0000 0.0000 0.0000
! Space-group type: Pm-3m
! D(E_F): 5.8 states/eV per cell
! M_tot: 0.559 μB/f.u.

Entry 2
! ScCrPt3 | Alexandria | PBE | relaxed; values from VASP
&SYSTEM
  ibrav = 0, nat = 5, ntyp = 3
/
ATOMIC_SPECIES
Cr 52.00 Cr.upf
Pt 195.08 Pt.upf
Sc 44.96 Sc.upf
CELL_PARAMETERS angstrom
4.6076 0.0000 0.0000
0.0000 4.6076 0.0000
0.0000 0.0000 4.6076
ATOMIC_POSITIONS crystal
Cr 0.0000 0.0000 0.0000
Pt 0.5000 0.0000 0.0000
Pt 0.0000 0.5000 0.0000
Pt 0.0000 0.0000 0.5000
Sc 0.5000 0.5000 0.5000
! Space-group type: Pm-3m
! D(E_F): 4.0 states/eV per cell
! M_tot: 0.000 μB/f.u.

Unit: meV/atom. Relative energies: entry 1 877; entry 2 0.

Entry 1
! CrSiTePt2 | Alexandria | PBE | relaxed; values from VASP
&SYSTEM
  ibrav = 0, nat = 5, ntyp = 4
/
ATOMIC_SPECIES
Cr 52.00 Cr.upf
Te 127.60 Te.upf
Pt 195.08 Pt.upf
Si 28.09 Si.upf
CELL_PARAMETERS angstrom
4.4902 0.0000 0.0000
0.0000 5.2682 0.0000
0.0000 0.0000 4.4902
ATOMIC_POSITIONS crystal
Cr 0.5000 0.5000 0.5000
Te 0.0000 0.5000 0.0000
Pt 0.5000 0.0000 0.0000
Pt 0.0000 0.0000 0.5000
Si 0.0000 0.0000 0.0000
! Space-group type: P4/mmm
! D(E_F): 10.4 states/eV per cell
! M_tot: 0.004 μB/f.u.

Entry 2
! CrSiTePt2 | Alexandria | PBE | relaxed; values from VASP
&SYSTEM
  ibrav = 0, nat = 5, ntyp = 4
/
ATOMIC_SPECIES
Cr 52.00 Cr.upf
Si 28.09 Si.upf
Pt 195.08 Pt.upf
Te 127.60 Te.upf
CELL_PARAMETERS angstrom
4.6823 0.0000 0.0000
0.0000 4.8684 0.0000
0.0000 0.0000 4.6823
ATOMIC_POSITIONS crystal
Cr 0.0000 0.0000 0.0000
Si 0.5000 0.5000 0.5000
Pt 0.5000 0.0000 0.0000
Pt 0.0000 0.0000 0.5000
Te 0.0000 0.5000 0.0000
! Space-group type: P4/mmm
! D(E_F): 5.0 states/eV per cell
! M_tot: 0.000 μB/f.u.

Unit: meV/atom. Relative energies: entry 1 17; entry 2 0.

Entry 1
! SrCrPt | Alexandria | PBE | relaxed; values from VASP
&SYSTEM
  ibrav = 0, nat = 6, ntyp = 3
/
ATOMIC_SPECIES
Pt 195.08 Pt.upf
Sr 87.62 Sr.upf
Cr 52.00 Cr.upf
CELL_PARAMETERS angstrom
-2.9805 2.7435 1.5116
-0.5544 -0.4072 -6.5374
-4.6721 -2.9981 2.4112
ATOMIC_POSITIONS crystal
Pt 0.1311 0.9975 0.0785
Pt 0.8541 0.6236 0.2592
Sr 0.4183 0.9988 0.5057
Sr 0.5669 0.6224 0.8320
Cr 0.2149 0.4104 0.3243
Cr 0.7706 0.2108 0.0132
! Space-group type: C2/m
! D(E_F): 6.6 states/eV per cell
! M_tot: 4.179 μB/f.u.

Entry 2
! SrCrPt | Alexandria | PBE | relaxed; values from VASP
&SYSTEM
  ibrav = 0, nat = 6, ntyp = 3
/
ATOMIC_SPECIES
Sr 87.62 Sr.upf
Pt 195.08 Pt.upf
Cr 52.00 Cr.upf
CELL_PARAMETERS angstrom
-5.2972 -8.4117 -0.2165
3.4535 -0.9720 -2.5675
3.4299 -2.2095 1.6700
ATOMIC_POSITIONS crystal
Sr 0.4895 0.8374 0.6338
Sr 0.0907 0.9009 0.1030
Pt 0.8679 0.0876 0.5096
Pt 0.7123 0.6507 0.2272
Cr 0.6919 0.3025 0.9008
Cr 0.8884 0.4358 0.8360
! Space-group type: P-1
! D(E_F): 3.7 states/eV per cell
! M_tot: 0.000 μB/f.u.

Unit: meV/atom. Relative energies: entry 1 0; entry 2 57.

Entry 1
! SrCrPt | Alexandria | PBE | relaxed; values from VASP
&SYSTEM
  ibrav = 0, nat = 6, ntyp = 3
/
ATOMIC_SPECIES
Sr 87.62 Sr.upf
Pt 195.08 Pt.upf
Cr 52.00 Cr.upf
CELL_PARAMETERS angstrom
-2.9817 -3.3818 -0.0267
0.2780 -0.2096 -4.4952
5.0674 -4.4721 0.5219
ATOMIC_POSITIONS crystal
Sr 0.0000 0.5000 0.8481
Sr 0.5000 0.0000 0.1519
Pt 0.5000 0.0000 0.6472
Pt 0.0000 0.5000 0.3528
Cr 0.0000 0.0000 0.5000
Cr 0.5000 0.5000 0.5000
! Space-group type: P4/nmm
! D(E_F): 7.4 states/eV per cell
! M_tot: 0.000 μB/f.u.

Entry 2
! SrCrPt | Alexandria | PBE | relaxed; values from VASP
&SYSTEM
  ibrav = 0, nat = 6, ntyp = 3
/
ATOMIC_SPECIES
Sr 87.62 Sr.upf
Cr 52.00 Cr.upf
Pt 195.08 Pt.upf
CELL_PARAMETERS angstrom
7.1236 -0.2184 -0.1612
0.1202 4.4250 -0.2054
0.1162 0.9451 4.3279
ATOMIC_POSITIONS crystal
Sr 0.1322 0.2973 0.2965
Sr 0.4480 0.7744 0.7736
Cr 0.7901 0.2313 0.8396
Cr 0.7901 0.8404 0.2305
Pt 0.9479 0.7417 0.7409
Pt 0.6323 0.3300 0.3292
! Space-group type: C2/m
! D(E_F): 6.2 states/eV per cell
! M_tot: 0.000 μB/f.u.

Unit: meV/atom. Relative energies: entry 1 44; entry 2 0.

Entry 1
! SrCrPt | Alexandria | PBE | relaxed; values from VASP
&SYSTEM
  ibrav = 0, nat = 3, ntyp = 3
/
ATOMIC_SPECIES
Cr 52.00 Cr.upf
Sr 87.62 Sr.upf
Pt 195.08 Pt.upf
CELL_PARAMETERS angstrom
6.0551 0.0091 -0.0032
3.9560 4.5841 0.0032
-5.0014 -2.3056 2.5168
ATOMIC_POSITIONS crystal
Cr 0.9506 0.9506 0.0000
Sr 0.6721 0.6721 0.0000
Pt 0.3773 0.3773 0.0000
! Space-group type: I4mm
! D(E_F): 2.2 states/eV per cell
! M_tot: 3.805 μB/f.u.

Entry 2
! SrCrPt | Alexandria | PBE | relaxed; values from VASP
&SYSTEM
  ibrav = 0, nat = 3, ntyp = 3
/
ATOMIC_SPECIES
Pt 195.08 Pt.upf
Sr 87.62 Sr.upf
Cr 52.00 Cr.upf
CELL_PARAMETERS angstrom
4.4031 0.0000 0.0000
-2.2015 3.8132 0.0000
0.0000 0.0000 4.5110
ATOMIC_POSITIONS crystal
Pt 0.6667 0.3333 0.1668
Sr 0.3333 0.6667 0.6666
Cr 0.0000 0.0000 0.1666
! Space-group type: P-6m2
! D(E_F): 1.8 states/eV per cell
! M_tot: 4.184 μB/f.u.

Unit: meV/atom. Relative energies: entry 1 166; entry 2 0.

Entry 1
! SrCrPt | Alexandria | PBE | relaxed; values from VASP
&SYSTEM
  ibrav = 0, nat = 6, ntyp = 3
/
ATOMIC_SPECIES
Sr 87.62 Sr.upf
Pt 195.08 Pt.upf
Cr 52.00 Cr.upf
CELL_PARAMETERS angstrom
-4.4000 0.0297 -2.7191
1.3617 -3.5606 -2.2423
-3.1207 -1.6178 5.0335
ATOMIC_POSITIONS crystal
Sr 0.0875 0.6597 0.7987
Sr 0.5875 0.2358 0.9511
Pt 0.0876 0.3849 0.2492
Pt 0.5875 0.5057 0.4906
Cr 0.2940 0.9527 0.3849
Cr 0.8816 0.9528 0.3849
! Space-group type: Amm2
! D(E_F): 4.6 states/eV per cell
! M_tot: 1.384 μB/f.u.

Entry 2
! SrCrPt | Alexandria | PBE | relaxed; values from VASP
&SYSTEM
  ibrav = 0, nat = 6, ntyp = 3
/
ATOMIC_SPECIES
Pt 195.08 Pt.upf
Sr 87.62 Sr.upf
Cr 52.00 Cr.upf
CELL_PARAMETERS angstrom
-0.9997 1.1214 -3.6951
-0.2063 -7.2311 -4.0243
-4.2564 0.7741 1.3883
ATOMIC_POSITIONS crystal
Pt 0.1061 0.9557 0.0938
Pt 0.0025 0.1982 0.7152
Sr 0.8084 0.6327 0.9329
Sr 0.4596 0.2880 0.2603
Cr 0.5894 0.9677 0.6012
Cr 0.2627 0.8341 0.5330
! Space-group type: Cm
! D(E_F): 5.8 states/eV per cell
! M_tot: 0.000 μB/f.u.

Unit: meV/atom. Relative energies: entry 1 0; entry 2 28.

Entry 1
! SrCr3Pt | Alexandria | PBE | relaxed; values from VASP
&SYSTEM
  ibrav = 0, nat = 5, ntyp = 3
/
ATOMIC_SPECIES
Pt 195.08 Pt.upf
Cr 52.00 Cr.upf
Sr 87.62 Sr.upf
CELL_PARAMETERS angstrom
-4.3399 0.3680 0.4146
0.0068 -3.2367 2.9438
0.5543 2.9207 3.2101
ATOMIC_POSITIONS crystal
Pt 0.5000 0.5000 0.5000
Cr 0.5000 0.0000 0.0000
Cr 0.0000 0.5000 0.0000
Cr 0.0000 0.0000 0.5000
Sr 0.0000 0.0000 0.0000
! Space-group type: Pm-3m
! D(E_F): 8.5 states/eV per cell
! M_tot: 0.000 μB/f.u.

Entry 2
! SrCr3Pt | Alexandria | PBE | relaxed; values from VASP
&SYSTEM
  ibrav = 0, nat = 5, ntyp = 3
/
ATOMIC_SPECIES
Sr 87.62 Sr.upf
Cr 52.00 Cr.upf
Pt 195.08 Pt.upf
CELL_PARAMETERS angstrom
-4.2105 1.8865 -1.9916
-2.0222 0.3307 4.5886
1.8536 4.6461 0.4821
ATOMIC_POSITIONS crystal
Sr 0.5000 0.5000 0.5000
Cr 0.0000 0.5000 0.0000
Cr 0.0000 0.0000 0.5000
Cr 0.5000 0.0000 0.0000
Pt 0.0000 0.0000 0.0000
! Space-group type: Pm-3m
! D(E_F): 8.6 states/eV per cell
! M_tot: 12.492 μB/f.u.

Unit: meV/atom. Relative energies: entry 1 1961; entry 2 0.

Entry 1
! SrCrPt3 | Alexandria | PBE | relaxed; values from VASP
&SYSTEM
  ibrav = 0, nat = 5, ntyp = 3
/
ATOMIC_SPECIES
Pt 195.08 Pt.upf
Sr 87.62 Sr.upf
Cr 52.00 Cr.upf
CELL_PARAMETERS angstrom
5.1265 0.0000 0.0000
0.0000 5.1265 0.0000
0.0000 0.0000 5.1265
ATOMIC_POSITIONS crystal
Pt 0.0000 0.5000 0.0000
Pt 0.5000 0.0000 0.0000
Pt 0.0000 0.0000 0.5000
Sr 0.0000 0.0000 0.0000
Cr 0.5000 0.5000 0.5000
! Space-group type: Pm-3m
! D(E_F): 12.1 states/eV per cell
! M_tot: 0.736 μB/f.u.

Entry 2
! SrCrPt3 | Alexandria | PBE | relaxed; values from VASP
&SYSTEM
  ibrav = 0, nat = 5, ntyp = 3
/
ATOMIC_SPECIES
Sr 87.62 Sr.upf
Pt 195.08 Pt.upf
Cr 52.00 Cr.upf
CELL_PARAMETERS angstrom
4.7297 0.0000 0.0000
0.0000 4.7297 0.0000
0.0000 0.0000 4.7297
ATOMIC_POSITIONS crystal
Sr 0.5000 0.5000 0.5000
Pt 0.5000 0.0000 0.0000
Pt 0.0000 0.0000 0.5000
Pt 0.0000 0.5000 0.0000
Cr 0.0000 0.0000 0.0000
! Space-group type: Pm-3m
! D(E_F): 5.2 states/eV per cell
! M_tot: 0.000 μB/f.u.

Unit: meV/atom. Relative energies: entry 1 2119; entry 2 0.

Entry 1
! TaCrPt | Alexandria | PBE | relaxed; values from VASP
&SYSTEM
  ibrav = 0, nat = 6, ntyp = 3
/
ATOMIC_SPECIES
Ta 180.95 Ta.upf
Cr 52.00 Cr.upf
Pt 195.08 Pt.upf
CELL_PARAMETERS angstrom
2.9872 0.0000 0.0000
-1.4936 4.7516 -0.0646
0.0000 -1.1100 6.6874
ATOMIC_POSITIONS crystal
Ta 0.9359 0.8718 0.2651
Ta 0.0641 0.1282 0.7349
Cr 0.6541 0.3083 0.4535
Cr 0.3459 0.6917 0.5465
Pt 0.8114 0.6228 0.8615
Pt 0.1886 0.3772 0.1385
! Space-group type: C2/m
! D(E_F): 4.2 states/eV per cell
! M_tot: 0.000 μB/f.u.

Entry 2
! TaCrPt | Alexandria | PBE | relaxed; values from VASP
&SYSTEM
  ibrav = 0, nat = 3, ntyp = 3
/
ATOMIC_SPECIES
Pt 195.08 Pt.upf
Cr 52.00 Cr.upf
Ta 180.95 Ta.upf
CELL_PARAMETERS angstrom
4.4501 0.0000 0.0000
-2.2250 3.8539 0.0000
0.0000 0.0000 2.7790
ATOMIC_POSITIONS crystal
Pt 0.3333 0.6667 0.3409
Cr 0.0000 0.0000 0.9831
Ta 0.6667 0.3333 0.6761
! Space-group type: P3m1
! D(E_F): 2.6 states/eV per cell
! M_tot: 3.197 μB/f.u.

Unit: meV/atom. Relative energies: entry 1 0; entry 2 98.

Entry 1
! TaCrPt | Alexandria | PBE | relaxed; values from VASP
&SYSTEM
  ibrav = 0, nat = 3, ntyp = 3
/
ATOMIC_SPECIES
Cr 52.00 Cr.upf
Pt 195.08 Pt.upf
Ta 180.95 Ta.upf
CELL_PARAMETERS angstrom
-2.6935 4.0443 -4.1447
-4.3201 4.2322 -1.9465
1.2623 2.3730 0.5374
ATOMIC_POSITIONS crystal
Cr 0.0076 0.0076 0.9924
Pt 0.6560 0.6560 0.3440
Ta 0.3364 0.3364 0.6636
! Space-group type: Fmm2
! D(E_F): 2.7 states/eV per cell
! M_tot: 0.000 μB/f.u.

Entry 2
! TaCrPt | Alexandria | PBE | relaxed; values from VASP
&SYSTEM
  ibrav = 0, nat = 3, ntyp = 3
/
ATOMIC_SPECIES
Cr 52.00 Cr.upf
Pt 195.08 Pt.upf
Ta 180.95 Ta.upf
CELL_PARAMETERS angstrom
-3.3824 2.6091 -0.3505
-3.1280 -0.9087 -2.7858
-3.8390 -1.2647 1.4259
ATOMIC_POSITIONS crystal
Cr 0.0000 0.0000 0.0000
Pt 0.5000 0.5000 0.5000
Ta 0.7500 0.7500 0.7500
! Space-group type: F-43m
! D(E_F): 2.3 states/eV per cell
! M_tot: 2.857 μB/f.u.

Entry 3
! TaCrPt | Alexandria | PBE | relaxed; values from VASP
&SYSTEM
  ibrav = 0, nat = 3, ntyp = 3
/
ATOMIC_SPECIES
Ta 180.95 Ta.upf
Pt 195.08 Pt.upf
Cr 52.00 Cr.upf
CELL_PARAMETERS angstrom
4.3261 0.0000 0.0000
2.1630 3.7465 0.0000
2.1630 1.2488 3.5322
ATOMIC_POSITIONS crystal
Ta 0.0000 0.0000 0.0000
Pt 0.7500 0.7500 0.7500
Cr 0.5000 0.5000 0.5000
! Space-group type: F-43m
! D(E_F): 2.3 states/eV per cell
! M_tot: 3.162 μB/f.u.

Unit: meV/atom. Relative energies: entry 1 0; entry 2 483; entry 3 383.

Entry 1
! TaCr2Pt | Alexandria | PBE | relaxed; values from VASP
&SYSTEM
  ibrav = 0, nat = 4, ntyp = 3
/
ATOMIC_SPECIES
Pt 195.08 Pt.upf
Cr 52.00 Cr.upf
Ta 180.95 Ta.upf
CELL_PARAMETERS angstrom
4.7277 0.0051 0.0046
3.9656 2.5738 0.0046
0.6273 0.1861 4.7691
ATOMIC_POSITIONS crystal
Pt 0.5059 0.5059 0.4916
Cr 0.2439 0.2439 0.2360
Cr 0.9952 0.9952 0.0253
Ta 0.7550 0.7550 0.7471
! Space-group type: Cm
! D(E_F): 4.0 states/eV per cell
! M_tot: 0.001 μB/f.u.

Entry 2
! TaCr2Pt | Alexandria | PBE | relaxed; values from VASP
&SYSTEM
  ibrav = 0, nat = 4, ntyp = 3
/
ATOMIC_SPECIES
Pt 195.08 Pt.upf
Cr 52.00 Cr.upf
Ta 180.95 Ta.upf
CELL_PARAMETERS angstrom
2.8757 0.0000 0.0000
0.0000 2.8757 0.0000
0.0000 0.0000 6.9547
ATOMIC_POSITIONS crystal
Pt 0.0000 0.0000 0.4768
Cr 0.0000 0.0000 0.0382
Cr 0.5000 0.5000 0.2142
Ta 0.5000 0.5000 0.7709
! Space-group type: P4mm
! D(E_F): 2.7 states/eV per cell
! M_tot: 0.240 μB/f.u.

Unit: meV/atom. Relative energies: entry 1 214; entry 2 0.